Version A
Li2PbBr after structural relaxation. Source: Alexandria, functional PBE.

a b c (Å): 6.980 6.980 6.980
angles (deg): 147.42 147.42 46.75
Fractional positions:
Br (0.750, 0.250, 0.500)
Li (0.250, 0.750, 0.500)
Li (0.000, 0.000, 0.000)
Pb (0.500, 0.500, 0.000)

As for the volume: 98 Å³/f.u.

---

Version B
Li2PbBr after structural relaxation. Source: Alexandria, functional PBE.

a b c (Å): 5.325 5.325 3.347
angles (deg): 90.00 90.00 104.91
Fractional positions:
Li (0.500, 0.500, 0.000)
Li (0.000, 0.000, 0.000)
Pb (0.500, 0.000, 0.500)
Br (0.000, 0.500, 0.500)

As for the volume: 92 Å³/f.u.

---

Version C
Li2PbBr after structural relaxation. Source: Alexandria, functional PBE.

a b c (Å): 3.424 3.568 7.942
angles (deg): 81.63 90.00 90.00
Fractional positions:
Pb (0.500, 0.250, 0.250)
Li (0.000, 0.632, 0.528)
Li (0.000, 0.868, 0.972)
Br (0.500, 0.750, 0.750)

As for the volume: 96 Å³/f.u.

---

Version D
Li2PbBr after structural relaxation. Source: Alexandria, functional PBE.

a b c (Å): 3.391 3.391 7.849
angles (deg): 90.00 90.00 90.00
Fractional positions:
Li (0.000, 0.000, 0.542)
Li (0.000, 0.000, 0.958)
Br (0.500, 0.500, 0.750)
Pb (0.500, 0.500, 0.250)

As for the volume: 90 Å³/f.u.

---

The winner here is version C, beating the second structure by 13 meV per atom.

---

Version A
Li2PbBr after structural relaxation. Source: Alexandria, functional PBE.

a b c (Å): 3.883 6.639 3.915
angles (deg): 90.00 90.00 90.00
Fractional positions:
Li (0.500, 0.500, 0.000)
Li (0.000, 0.000, 0.000)
Br (0.000, 0.500, 0.500)
Pb (0.500, 0.000, 0.500)

As for the volume: 101 Å³/f.u.

---

Version B
Li2PbBr after structural relaxation. Source: Alexandria, functional PBE.

a b c (Å): 5.539 5.539 5.539
angles (deg): 130.65 130.65 72.38
Fractional positions:
Li (0.000, 0.000, 0.000)
Li (0.500, 0.500, 0.000)
Pb (0.250, 0.750, 0.500)
Br (0.750, 0.250, 0.500)

As for the volume: 96 Å³/f.u.

---

The winner here is version A, beating the second structure by 147 meV per atom.

---

Version A
Li2PbBr after structural relaxation. Source: Alexandria, functional PBE.

a b c (Å): 8.400 8.400 8.400
angles (deg): 156.54 156.31 33.58
Fractional positions:
Br (0.203, 0.703, 0.500)
Li (0.075, 0.075, 0.000)
Li (0.776, 0.276, 0.500)
Pb (0.446, 0.446, 0.000)

As for the volume: 95 Å³/f.u.

---

Version B
Li2PbBr after structural relaxation. Source: Alexandria, functional PBE.

a b c (Å): 5.087 5.087 5.087
angles (deg): 60.00 60.00 60.00
Fractional positions:
Pb (0.500, 0.500, 0.500)
Li (0.750, 0.750, 0.750)
Li (0.250, 0.250, 0.250)
Br (0.000, 0.000, 0.000)

As for the volume: 93 Å³/f.u.

---

Version C
Li2PbBr after structural relaxation. Source: Alexandria, functional PBE.

a b c (Å): 3.494 3.494 8.330
angles (deg): 90.00 90.00 112.77
Fractional positions:
Li (0.000, 0.000, 0.956)
Li (0.000, 0.000, 0.544)
Pb (0.500, 0.500, 0.250)
Br (0.500, 0.500, 0.750)

As for the volume: 94 Å³/f.u.

---

The winner here is version A, beating the second structure by 16 meV per atom.

---

Version A
Li2PbBr after structural relaxation. Source: Alexandria, functional PBE.

a b c (Å): 7.069 7.069 6.464
angles (deg): 56.85 56.85 90.00
Fractional positions:
Li (0.375, 0.431, 0.750)
Li (0.875, 0.819, 0.750)
Li (0.181, 0.625, 0.250)
Li (0.569, 0.125, 0.250)
Br (0.250, 0.750, 0.500)
Br (0.500, 0.500, 0.000)
Pb (0.750, 0.250, 0.500)
Pb (0.000, 0.000, 0.000)

As for the volume: 102 Å³/f.u.

---

Version B
Li2PbBr after structural relaxation. Source: Alexandria, functional PBE.

a b c (Å): 3.364 5.232 5.232
angles (deg): 90.00 90.00 90.00
Fractional positions:
Li (0.000, 0.000, 0.000)
Li (0.000, 0.500, 0.500)
Br (0.500, 0.000, 0.500)
Pb (0.500, 0.500, 0.000)

As for the volume: 92 Å³/f.u.

---

Version C
Li2PbBr after structural relaxation. Source: Alexandria, functional PBE.

a b c (Å): 7.091 3.878 3.879
angles (deg): 90.00 90.00 90.00
Fractional positions:
Pb (0.000, 0.623, 0.607)
Li (0.000, 0.123, 0.106)
Li (0.500, 0.127, 0.146)
Br (0.500, 0.626, 0.641)

As for the volume: 107 Å³/f.u.

---

Version D
Li2PbBr after structural relaxation. Source: Alexandria, functional PBE.

a b c (Å): 3.534 3.534 8.259
angles (deg): 90.00 90.00 90.00
Fractional positions:
Li (0.000, 0.000, 0.959)
Li (0.500, 0.500, 0.208)
Pb (0.000, 0.000, 0.433)
Br (0.500, 0.500, 0.901)

As for the volume: 103 Å³/f.u.

---

The winner here is version D, beating the second structure by 91 meV per atom.

---

Version A
LiPb2Br after structural relaxation. Source: Alexandria, functional PBE.

a b c (Å): 10.517 10.517 3.692
angles (deg): 80.72 80.72 19.00
Fractional positions:
Li (0.250, 0.250, 0.250)
Br (0.750, 0.750, 0.750)
Pb (0.944, 0.944, 0.051)
Pb (0.556, 0.556, 0.449)

As for the volume: 131 Å³/f.u.

---

Version B
LiPb2Br after structural relaxation. Source: Alexandria, functional PBE.

a b c (Å): 3.568 5.456 5.870
angles (deg): 90.00 90.00 90.00
Fractional positions:
Pb (0.500, 0.500, 0.000)
Pb (0.000, 0.000, 0.000)
Br (0.500, 0.000, 0.500)
Li (0.000, 0.500, 0.500)

As for the volume: 114 Å³/f.u.

---

The winner here is version A, beating the second structure by 304 meV per atom.

---

Version A
LiPb2Br after structural relaxation. Source: Alexandria, functional PBE.

a b c (Å): 9.799 9.799 9.799
angles (deg): 21.46 21.46 21.46
Fractional positions:
Pb (0.004, 0.004, 0.004)
Pb (0.496, 0.496, 0.496)
Li (0.750, 0.750, 0.750)
Br (0.250, 0.250, 0.250)

As for the volume: 110 Å³/f.u.

---

Version B
LiPb2Br after structural relaxation. Source: Alexandria, functional PBE.

a b c (Å): 3.552 3.552 8.575
angles (deg): 90.00 90.00 90.00
Fractional positions:
Br (0.500, 0.500, 0.250)
Pb (0.000, 0.000, 0.521)
Pb (0.000, 0.000, 0.979)
Li (0.500, 0.500, 0.750)

As for the volume: 108 Å³/f.u.

---

The winner here is version A, beating the second structure by 22 meV per atom.

---

Version A
LiPb2Br after structural relaxation. Source: Alexandria, functional PBE.

a b c (Å): 3.807 4.922 6.142
angles (deg): 90.00 90.00 90.00
Fractional positions:
Pb (0.000, 0.000, 0.509)
Pb (0.000, 0.000, 0.991)
Br (0.500, 0.500, 0.250)
Li (0.500, 0.500, 0.750)

As for the volume: 115 Å³/f.u.

---

Version B
LiPb2Br after structural relaxation. Source: Alexandria, functional PBE.

a b c (Å): 3.718 3.718 9.878
angles (deg): 79.63 79.63 59.91
Fractional positions:
Li (0.233, 0.233, 0.308)
Br (0.530, 0.530, 0.421)
Pb (0.992, 0.992, 0.020)
Pb (0.745, 0.745, 0.751)

As for the volume: 116 Å³/f.u.

---

The winner here is version B, beating the second structure by 389 meV per atom.

---

Version A
LiPb2Br after structural relaxation. Source: Alexandria, functional PBE.

a b c (Å): 5.843 5.843 3.460
angles (deg): 90.00 90.00 109.38
Fractional positions:
Li (0.000, 0.500, 0.500)
Br (0.500, 0.000, 0.500)
Pb (0.500, 0.500, 0.000)
Pb (0.000, 0.000, 0.000)

As for the volume: 111 Å³/f.u.

---

Version B
LiPb2Br after structural relaxation. Source: Alexandria, functional PBE.

a b c (Å): 6.145 6.145 6.145
angles (deg): 145.85 121.40 69.60
Fractional positions:
Pb (0.031, 0.031, 0.000)
Pb (0.749, 0.249, 0.500)
Br (0.442, 0.442, 0.000)
Li (0.278, 0.778, 0.500)

As for the volume: 110 Å³/f.u.

---

Version C
LiPb2Br after structural relaxation. Source: Alexandria, functional PBE.

a b c (Å): 6.663 6.663 7.976
angles (deg): 65.31 65.31 90.00
Fractional positions:
Li (0.250, 0.750, 0.500)
Li (0.500, 0.500, 0.000)
Br (0.750, 0.250, 0.500)
Br (0.000, 0.000, 0.000)
Pb (0.182, 0.625, 0.250)
Pb (0.875, 0.818, 0.750)
Pb (0.568, 0.125, 0.250)
Pb (0.375, 0.432, 0.750)

As for the volume: 143 Å³/f.u.

---

Version D
LiPb2Br after structural relaxation. Source: Alexandria, functional PBE.

a b c (Å): 6.958 4.300 4.300
angles (deg): 90.00 90.00 90.00
Fractional positions:
Pb (0.000, 0.000, 0.000)
Pb (0.000, 0.500, 0.500)
Li (0.500, 0.000, 0.500)
Br (0.500, 0.500, 0.000)

As for the volume: 129 Å³/f.u.

---

The winner here is version B, beating the second structure by 66 meV per atom.

---

Version A
LiPb2Br after structural relaxation. Source: Alexandria, functional PBE.

a b c (Å): 3.564 3.568 10.288
angles (deg): 78.74 90.00 90.00
Fractional positions:
Pb (0.000, 0.870, 0.019)
Pb (0.500, 0.242, 0.246)
Br (0.000, 0.440, 0.626)
Li (0.500, 0.949, 0.608)

As for the volume: 128 Å³/f.u.

---

Version B
LiPb2Br after structural relaxation. Source: Alexandria, functional PBE.

a b c (Å): 5.403 5.403 5.403
angles (deg): 60.00 60.00 60.00
Fractional positions:
Br (0.500, 0.500, 0.500)
Pb (0.250, 0.250, 0.250)
Pb (0.750, 0.750, 0.750)
Li (0.000, 0.000, 0.000)

As for the volume: 112 Å³/f.u.

---

The winner here is version A, beating the second structure by 622 meV per atom.

---

Version A
LiPb2Br after structural relaxation. Source: Alexandria, functional PBE.

a b c (Å): 5.512 5.512 5.512
angles (deg): 123.03 123.03 84.83
Fractional positions:
Br (0.500, 0.500, 0.000)
Pb (0.250, 0.750, 0.500)
Pb (0.000, 0.000, 0.000)
Li (0.750, 0.250, 0.500)

As for the volume: 113 Å³/f.u.

---

Version B
LiPb2Br after structural relaxation. Source: Alexandria, functional PBE.

a b c (Å): 3.521 3.521 9.517
angles (deg): 90.00 90.00 110.19
Fractional positions:
Pb (0.000, 0.000, 0.510)
Pb (0.000, 0.000, 0.990)
Br (0.500, 0.500, 0.250)
Li (0.500, 0.500, 0.750)

As for the volume: 111 Å³/f.u.

---

Version C
LiPb2Br after structural relaxation. Source: Alexandria, functional PBE.

a b c (Å): 3.564 3.564 10.233
angles (deg): 90.00 90.00 90.00
Fractional positions:
Br (0.000, 0.000, 0.624)
Pb (0.500, 0.500, 0.249)
Pb (0.000, 0.000, 0.024)
Li (0.500, 0.500, 0.603)

As for the volume: 130 Å³/f.u.

---

The winner here is version C, beating the second structure by 420 meV per atom.

---

Version A
LiPbBr2 after structural relaxation. Source: Alexandria, functional PBE.

a b c (Å): 4.373 3.738 8.350
angles (deg): 77.10 90.00 90.00
Fractional positions:
Pb (0.500, 0.704, 0.968)
Br (0.000, 0.835, 0.706)
Br (0.500, 0.519, 0.337)
Li (0.000, 0.442, 0.490)

As for the volume: 133 Å³/f.u.

---

Version B
LiPbBr2 after structural relaxation. Source: Alexandria, functional PBE.

a b c (Å): 9.154 9.154 9.154
angles (deg): 24.16 24.16 24.16
Fractional positions:
Br (0.891, 0.891, 0.891)
Br (0.109, 0.109, 0.109)
Li (0.500, 0.500, 0.500)
Pb (0.000, 0.000, 0.000)

As for the volume: 113 Å³/f.u.

---

The winner here is version B, beating the second structure by 22 meV per atom.